Material: CoOsPd2
Method: DFT, PBE
State: optimized geometry

abc: 6.9070 6.9070 5.5294
angles: 51.35 51.35 90.00
Last column: nearest neighbours and their distance in Å.
Positions (direct):
Co 0.2500 0.7500 0.5000  4 Pd 2.46, 2 Os 2.59
Co 0.5000 0.5000 0.0000  4 Pd 2.46, 2 Os 2.59
Pd 0.8750 0.8602 0.7500  2 Co 2.46, 2 Os 2.60, 2 Pd 2.60
Pd 0.3750 0.3898 0.7500  2 Co 2.46, 2 Os 2.60, 2 Pd 2.60
Pd 0.6102 0.1250 0.2500  2 Co 2.46, 2 Os 2.60, 2 Pd 2.60
Pd 0.1398 0.6250 0.2500  2 Co 2.46, 2 Os 2.60, 2 Pd 2.60
Os 0.7500 0.2500 0.5000  2 Co 2.59, 4 Pd 2.60
Os 0.0000 0.0000 0.0000  2 Co 2.59, 4 Pd 2.60

Summary:
Calculated volume, Å³ per cell: 123.7
DOS(E_F), states/eV/f.u.: 6.51
Energy of formation from the pure elements, eV/atom: 0.850